# ZnSeBr2

An optimized crystal structure of ZnSeBr2 (PBE, Alexandria via LeMat-Bulk).

Structure (POSCAR):
```
ZnSeBr2
1.0
1.782 1.029 11.660
-1.782 1.029 11.660
0.000 -2.058 11.660
Zn Se Br
1 1 2
direct
0.000 0.000 0.000 Zn
0.500 0.500 0.500 Se
0.288 0.288 0.288 Br
0.712 0.712 0.712 Br
```

Results
Excess energy over the best structure of this formula in the dataset in meV/atom: 314.8
Electronic total energy in eV/atom: -2.15
N(E_F) in states/eV per cell: 2.67
Symmetry: R-3m (166)